# RbCo2Tc (PBE, relaxed)
# Calculated total energy (eV/f.u.): -18.9
# Crystal system: cubic
# Energy of formation (eV/atom): 1.66
data_RbCo2Tc
_chemical_formula_sum 'Rb4 Co8 Tc4'
_cell_length_a 6.5073
_cell_length_b 6.5073
_cell_length_c 6.5073
_cell_angle_alpha 90.00
_cell_angle_beta 90.00
_cell_angle_gamma 90.00
_symmetry_space_group_name_H-M 'F m -3 m'
_symmetry_Int_Tables_number 225
_symmetry_space_group_name_Hall '-F 4 2 3'
loop_
_atom_site_label
_atom_site_type_symbol
_atom_site_fract_x
_atom_site_fract_y
_atom_site_fract_z
_atom_site_occupancy
Rb1 Rb 0.0000 0.0000 0.0000 1
Co1 Co 0.2500 0.2500 0.2500 1
Tc1 Tc 0.0000 0.0000 0.5000 1